Material: TiCo2GeO6
Method: DFT, PBE+U
State: optimized geometry

Calculated values
magnetic moment: 4.0 μB/f.u.
total DFT energy (no corrections): -69.7 eV/cell

Cell: 5.0274 5.0698 5.3677 Å, 62.01 89.49 60.86°
Space group P1 (No. 1)
One atom of each set of equivalent atoms:
Ti1 0.0000 0.0000 0.0000 (multiplicity 1)
Co1 0.2751 0.4463 0.8411 (multiplicity 1)
Co2 0.7910 0.4122 0.3870 (multiplicity 1)
Ge1 0.4954 0.0110 0.4824 (multiplicity 1)
O1 0.0908 0.5333 0.1923 (multiplicity 1)
O2 0.2239 0.9212 0.6917 (multiplicity 1)
O3 0.3575 0.9330 0.1930 (multiplicity 1)
O4 0.5985 0.1932 0.6705 (multiplicity 1)
O5 0.7052 0.1916 0.1916 (multiplicity 1)
O6 0.8540 0.5461 0.6728 (multiplicity 1)